[1]
# NiPd2Au2

A geometry-optimized NiPd2Au2 structure (PBE, the Alexandria database). Values from VASP.

Values from the calculation:
Its offset from the most stable computed form is 0 meV/atom. The symmetry is P4/mbm.

Quantum ESPRESSO input file:
```
&SYSTEM
  ibrav = 0, nat = 10, ntyp = 3
/
ATOMIC_SPECIES
Ni 58.69 Ni.upf
Au 196.97 Au.upf
Pd 106.42 Pd.upf
CELL_PARAMETERS angstrom
6.499 0.000 0.000
0.000 6.499 0.000
0.000 0.000 4.045
ATOMIC_POSITIONS crystal
Ni 0.000 0.000 0.000
Ni 0.500 0.500 0.000
Au 0.159 0.659 0.500
Au 0.659 0.841 0.500
Au 0.841 0.341 0.500
Au 0.341 0.159 0.500
Pd 0.355 0.855 0.000
Pd 0.855 0.645 0.000
Pd 0.645 0.145 0.000
Pd 0.145 0.355 0.000
```


[2]
# Ni2PdAu2

A geometry-optimized Ni2PdAu2 structure (PBE, the Alexandria database). Values from VASP.

Values from the calculation:
Its offset from the most stable computed form is 60 meV/atom. The symmetry is P4/mbm.

Quantum ESPRESSO input file:
```
&SYSTEM
  ibrav = 0, nat = 10, ntyp = 3
/
ATOMIC_SPECIES
Ni 58.69 Ni.upf
Au 196.97 Au.upf
Pd 106.42 Pd.upf
CELL_PARAMETERS angstrom
7.394 0.000 0.000
0.000 7.394 0.000
0.000 0.000 2.829
ATOMIC_POSITIONS crystal
Ni 0.158 0.658 0.500
Ni 0.658 0.842 0.500
Ni 0.842 0.342 0.500
Ni 0.342 0.158 0.500
Au 0.360 0.860 0.000
Au 0.860 0.640 0.000
Au 0.640 0.140 0.000
Au 0.140 0.360 0.000
Pd 0.000 0.000 0.000
Pd 0.500 0.500 0.000
```


[3]
# Ni2PdAu2

A geometry-optimized Ni2PdAu2 structure (PBE, the Alexandria database). Values from VASP.

Values from the calculation:
Its offset from the most stable computed form is 94 meV/atom. The symmetry is I4/mmm.

Quantum ESPRESSO input file:
```
&SYSTEM
  ibrav = 0, nat = 5, ntyp = 3
/
ATOMIC_SPECIES
Ni 58.69 Ni.upf
Au 196.97 Au.upf
Pd 106.42 Pd.upf
CELL_PARAMETERS angstrom
-2.173 -0.371 2.517
2.354 -1.547 1.805
2.134 5.282 4.845
ATOMIC_POSITIONS crystal
Ni 0.750 0.250 0.500
Ni 0.250 0.750 0.500
Au 0.394 0.394 0.213
Au 0.606 0.606 0.787
Pd 0.000 0.000 0.000
```


[4]
# Ni2Pd2Au

A geometry-optimized Ni2Pd2Au structure (PBE, the Alexandria database). Values from VASP.

Values from the calculation:
Its offset from the most stable computed form is 48 meV/atom. The symmetry is P4/mbm.

Quantum ESPRESSO input file:
```
&SYSTEM
  ibrav = 0, nat = 10, ntyp = 3
/
ATOMIC_SPECIES
Ni 58.69 Ni.upf
Au 196.97 Au.upf
Pd 106.42 Pd.upf
CELL_PARAMETERS angstrom
7.324 0.000 0.000
0.000 7.324 0.000
0.000 0.000 2.755
ATOMIC_POSITIONS crystal
Ni 0.164 0.664 0.500
Ni 0.664 0.836 0.500
Ni 0.836 0.336 0.500
Ni 0.336 0.164 0.500
Au 0.000 0.000 0.000
Au 0.500 0.500 0.000
Pd 0.367 0.867 0.000
Pd 0.867 0.633 0.000
Pd 0.633 0.133 0.000
Pd 0.133 0.367 0.000
```


[5]
# Ni3Pd12Au

A geometry-optimized Ni3Pd12Au structure (PBE, the Alexandria database). Values from VASP.

Values from the calculation:
The symmetry is P4/mmm.

Quantum ESPRESSO input file:
```
&SYSTEM
  ibrav = 0, nat = 16, ntyp = 3
/
ATOMIC_SPECIES
Ni 58.69 Ni.upf
Pd 106.42 Pd.upf
Au 196.97 Au.upf
CELL_PARAMETERS angstrom
3.911 0.000 0.000
0.000 3.911 0.000
0.000 0.000 15.561
ATOMIC_POSITIONS crystal
Ni 0.000 0.000 0.256
Ni 0.000 0.000 0.500
Ni 0.000 0.000 0.744
Pd 0.500 0.500 0.000
Pd 0.500 0.500 0.256
Pd 0.500 0.500 0.500
Pd 0.500 0.500 0.744
Pd 0.500 0.000 0.134
Pd 0.500 0.000 0.378
Pd 0.500 0.000 0.622
Pd 0.500 0.000 0.866
Pd 0.000 0.500 0.134
Pd 0.000 0.500 0.378
Pd 0.000 0.500 0.622
Pd 0.000 0.500 0.866
Au 0.000 0.000 0.000
```


[6]
# NiPdAu

A geometry-optimized NiPdAu structure (PBE, the Alexandria database). Values from VASP.

Values from the calculation:
Its offset from the most stable computed form is 16 meV/atom. The symmetry is P2_1.

Quantum ESPRESSO input file:
```
&SYSTEM
  ibrav = 0, nat = 6, ntyp = 3
/
ATOMIC_SPECIES
Ni 58.69 Ni.upf
Pd 106.42 Pd.upf
Au 196.97 Au.upf
CELL_PARAMETERS angstrom
2.761 0.000 0.343
-0.001 2.800 0.005
-0.111 -0.017 11.724
ATOMIC_POSITIONS crystal
Ni 0.843 0.292 0.817
Ni 0.401 0.792 0.695
Pd 0.973 0.292 0.547
Pd 0.272 0.791 0.965
Au 0.687 0.290 0.148
Au 0.559 0.791 0.364
```


| no. | calculated formation energy (kcal/mol of atoms) | E (eV/cell) |
| --- | --- | --- |
| 1 | 5.92 | -42.9 |
| 2 | 5.48 | -44.2 |
| 3 | 6.27 | -22.0 |
| 4 | 3.91 | -48.8 |
| 5 | 0.43 | -82.6 |
| 6 | 0.54 | -28.4 |